## HoZnPtAu (PBE-GGA)

Data for crystalline HoZnPtAu at its relaxed geometry.

Unit cell a=4.7480 b=4.7480 c=4.7480 alpha=60.00 beta=60.00 gamma=60.00
Closest atoms and distances in Å follow each position.
Atoms (fractional coordinates):
1 Ho 0.0000 0.0000 0.0000  4 Pt 2.91, 4 Au 2.91
2 Zn 0.5000 0.5000 0.5000  4 Pt 2.91, 4 Au 2.91
3 Pt 0.2500 0.2500 0.2500  4 Ho 2.91, 4 Zn 2.91
4 Au 0.7500 0.7500 0.7500  4 Ho 2.91, 4 Zn 2.91

Crystal system = cubic
Symmetry = F-43m, No. 216
ΔH_f (0 K) = -0.7416 eV/atom